Density functional theory data (GGA-PBE) for crystalline LaCuAg2 at its relaxed geometry.

abc: 7.2474 7.2474 5.4040
angles: 100.91 100.91 135.65
Last column: nearest neighbours and their distance in Å.
Atoms (fractional coordinates):
La (0.1135, 0.8865, 0.7500)  4 Cu 3.10-3.14, 8 Ag 3.17-3.36
La (0.8865, 0.1135, 0.2500)  4 Cu 3.10-3.14, 8 Ag 3.17-3.36
Cu (0.4985, 0.5015, 0.7500)  4 Ag 2.69-2.74, 2 Cu 2.70
Cu (0.5015, 0.4985, 0.2500)  4 Ag 2.69-2.74, 2 Cu 2.70
Ag (0.1654, 0.4955, 0.9114)  2 Cu 2.69-2.74, 1 Ag 2.78
Ag (0.4955, 0.1654, 0.4114)  2 Cu 2.69-2.74, 1 Ag 2.78
Ag (0.5045, 0.8346, 0.5886)  2 Cu 2.69-2.74, 1 Ag 2.78
Ag (0.8346, 0.5045, 0.0886)  2 Cu 2.69-2.74, 1 Ag 2.78

Properties
calculated formation energy = -20 kJ per mole of atoms
magnetic moment = 0.0 μB/f.u.
V = 171.6 Å³ per cell
space-group type = C2/c (15)



Density functional theory data (GGA-PBE) for crystalline LaCu10Ag at its relaxed geometry.

abc: 4.1195 5.0034 8.6725
angles: 90.00 90.00 90.00
Last column: nearest neighbours and their distance in Å.
Atoms (fractional coordinates):
La (0.0000, 0.0000, 0.0000)  18 Cu 2.99-3.28
Cu (0.0000, 0.0000, 0.3474)  7 Cu 2.45-2.65
Cu (0.0000, 0.0000, 0.6526)  7 Cu 2.45-2.65
Cu (0.0000, 0.5000, 0.1896)  6 Cu 2.48-2.64, 1 Ag 2.69
Cu (0.0000, 0.5000, 0.8104)  6 Cu 2.48-2.64, 1 Ag 2.69
Cu (0.5000, 0.0000, 0.5000)  8 Cu 2.45-2.46
Cu (0.5000, 0.2507, 0.2559)  8 Cu 2.46-2.55
Cu (0.5000, 0.2507, 0.7441)  8 Cu 2.46-2.55
Cu (0.5000, 0.5000, 0.0000)  8 Cu 2.55-2.64
Cu (0.5000, 0.7493, 0.2559)  8 Cu 2.46-2.55
Cu (0.5000, 0.7493, 0.7441)  8 Cu 2.46-2.55
Ag (0.0000, 0.5000, 0.5000)  6 Cu 2.69-2.83

Properties
calculated formation energy = -3 kJ per mole of atoms
magnetic moment = 0.0 μB/f.u.
V = 178.8 Å³ per cell
space-group type = Pmmm (47)



Density functional theory data (GGA-PBE) for crystalline LaCuAg2 at its relaxed geometry.

abc: 3.5243 3.5243 6.8300
angles: 90.00 90.00 90.00
Last column: nearest neighbours and their distance in Å.
Atoms (fractional coordinates):
La (0.0000, 0.0000, 0.0000)  4 Cu 3.15, 5 Ag 3.19-3.30, 4 La 3.52
Cu (0.5000, 0.5000, 0.7183)  5 Ag 2.74-2.80
Ag (0.0000, 0.0000, 0.5329)  4 Cu 2.80, 4 Ag 2.90
Ag (0.5000, 0.5000, 0.3166)  1 Cu 2.74, 4 Ag 2.90

Properties
calculated formation energy = -7 kJ per mole of atoms
magnetic moment = 0.0 μB/f.u.
V = 84.8 Å³ per cell
space-group type = P4mm (99)



Density functional theory data (GGA-PBE) for crystalline La4Cu2Ag at its relaxed geometry.

abc: 9.5159 9.5159 9.5159
angles: 30.99 30.99 30.99
Last column: nearest neighbours and their distance in Å.
Atoms (fractional coordinates):
La (0.1191, 0.1191, 0.1191)  3 Ag 3.21, 3 Cu 3.24
La (0.2926, 0.2926, 0.2926)  4 Cu 2.98-3.03
La (0.7074, 0.7074, 0.7074)  4 Cu 2.98-3.03
La (0.8809, 0.8809, 0.8809)  3 Ag 3.21, 3 Cu 3.24
Cu (0.4023, 0.4023, 0.4023)  1 Ag 2.65
Cu (0.5977, 0.5977, 0.5977)  1 Ag 2.65
Ag (0.5000, 0.5000, 0.5000)  2 Cu 2.65

Properties
calculated formation energy = -3 kJ per mole of atoms
magnetic moment = 0.0 μB/f.u.
V = 202.6 Å³ per cell
space-group type = R-3m (166)
relative energy among the computed polymorphs = 0.22 eV/f.u.